First-principles (GGA+U) data for a relaxed structure of MnB2PbO, as listed in Alexandria via LeMat-Bulk.

Results
The calculated total energy is -4.274 eV/atom. Its space-group type is P4/mmm, No. 123. The calculation puts the size of the total moment at 0.919 μB/atom.

Cell lengths 4.6169, 4.4137, 4.6169 Å; angles 90.00, 90.00, 90.00 degrees
Last column: nearest neighbours and their distance in Å.
Element x y z (fractional)
1 O 0.0000 0.5000 0.0000  2 Pb 2.21
2 B 0.0000 0.0000 0.5000  2 Pb 2.31
3 Pb 0.0000 0.0000 0.0000  2 O 2.21, 4 B 2.31
4 B 0.5000 0.0000 0.0000  2 Pb 2.31
5 Mn 0.5000 0.5000 0.5000  8 B 3.19, 4 O 3.26